The following is a GGA+U calculation of NaPaCrO4 after structural relaxation, from Alexandria.

Cell lengths 6.8343, 6.8343, 6.8343 Å; angles 126.03, 118.23, 86.49 degrees
Last column: nearest neighbours and their distance in Å.
Atoms (fractional coordinates):
Na 0.4146 0.1646 0.2500  4 O 2.29-2.43
Na 0.5854 0.8354 0.7500  4 O 2.29-2.43
Pa 0.0000 0.5000 0.5000  6 O 2.18-2.21
Pa 0.5000 0.5000 0.0000  6 O 2.18-2.21
Cr 0.0000 0.0000 0.5000  4 O 2.11
Cr 0.0000 0.5000 0.0000  4 O 2.11
O 0.1637 0.7163 0.4474  2 Cr 2.11, 1 Pa 2.18
O 0.2311 0.2837 0.9474  2 Cr 2.11, 1 Pa 2.18
O 0.2690 0.3057 0.5367  2 Pa 2.21, 1 Na 2.29
O 0.2690 0.7323 0.9633  2 Pa 2.21, 1 Na 2.29
O 0.7310 0.2677 0.0367  2 Pa 2.21, 1 Na 2.29
O 0.7310 0.6943 0.4633  2 Pa 2.21, 1 Na 2.29
O 0.7689 0.7163 0.0526  2 Cr 2.11, 1 Pa 2.18
O 0.8363 0.2837 0.5526  2 Cr 2.11, 1 Pa 2.18

Results
The theoretical density is 5.672 g/cm³. For the magnetic moment, the calculation gives 4.0 μB per formula unit. The calculation puts the uncorrected energy at -8.0709 eV per atom. As for the density of states at the Fermi level: 0.000 states/eV/f.u.